1.
# meta-GGA SCAN BaCuAsBr2, PBEsol geometry
# E: -1.6692 Ry/atom
# ΔE_f (raw): 0.06 eV per atom
data_BaCuAsBr2
_chemical_formula_sum 'Ba1 Cu1 As1 Br2'
_cell_length_a 6.090
_cell_length_b 6.090
_cell_length_c 6.500
_cell_angle_alpha 90.00
_cell_angle_beta 90.00
_cell_angle_gamma 90.00
_space_group_name_H-M_alt 'P 4/m m m'
_space_group_IT_number 123
_space_group_name_Hall '-P 4 2'
loop_
_atom_site_label
_atom_site_type_symbol
_atom_site_fract_x
_atom_site_fract_y
_atom_site_fract_z
Ba1 Ba 0.000 0.000 0.000
Cu1 Cu 0.500 0.500 0.500
As1 As 0.000 0.000 0.500
Br1 Br 0.000 0.500 0.000

***

2.
# meta-GGA SCAN InHg5, PBEsol geometry
# E_form: 100.3 meV per atom
# E: -4.5767 Ry/atom
# Energy above the lowest structure with this stoichiometry: 0.086 eV per atom
data_InHg5
_chemical_formula_sum 'In4 Hg20'
_cell_length_a 8.433
_cell_length_b 8.433
_cell_length_c 8.433
_cell_angle_alpha 90.00
_cell_angle_beta 90.00
_cell_angle_gamma 90.00
_space_group_name_H-M_alt 'F -4 3 m'
_space_group_IT_number 216
_space_group_name_Hall 'F -4 2 3'
loop_
_atom_site_label
_atom_site_type_symbol
_atom_site_fract_x
_atom_site_fract_y
_atom_site_fract_z
In1 In 0.000 0.000 0.000
Hg1 Hg 0.125 0.125 0.625
Hg2 Hg 0.250 0.250 0.250

***

3.
# meta-GGA SCAN TlRh2, PBEsol geometry
# E_form: 244.7 meV per atom
# E: -3.4095 Ry/atom
data_TlRh2
_chemical_formula_sum 'Tl2 Rh4'
_cell_length_a 2.930
_cell_length_b 2.930
_cell_length_c 11.185
_cell_angle_alpha 90.00
_cell_angle_beta 90.00
_cell_angle_gamma 90.00
_space_group_name_H-M_alt 'I 4/m m m'
_space_group_IT_number 139
_space_group_name_Hall '-I 4 2'
loop_
_atom_site_label
_atom_site_type_symbol
_atom_site_fract_x
_atom_site_fract_y
_atom_site_fract_z
Tl1 Tl 0.000 0.000 0.000
Rh1 Rh 0.000 0.000 0.324

***

4.
# meta-GGA SCAN CaMn2Ag, PBEsol geometry
# E_form: 110.5 meV per atom
# E: -1.4167 Ry/atom
data_CaMn2Ag
_chemical_formula_sum 'Ca1 Mn2 Ag1'
_cell_length_a 3.372
_cell_length_b 3.372
_cell_length_c 7.000
_cell_angle_alpha 90.00
_cell_angle_beta 90.00
_cell_angle_gamma 90.00
_space_group_name_H-M_alt 'P 4/m m m'
_space_group_IT_number 123
_space_group_name_Hall '-P 4 2'
loop_
_atom_site_label
_atom_site_type_symbol
_atom_site_fract_x
_atom_site_fract_y
_atom_site_fract_z
Ca1 Ca 0.000 0.000 0.000
Mn1 Mn 0.500 0.500 0.306
Ag1 Ag 0.000 0.000 0.500